Record 1
A plane-wave DFT calculation with PBEsol was carried out for an optimized crystal structure of KSr3.

```
16
Lattice="13.467 0.000 0.000 0.000 9.810 0.000 0.000 0.000 6.664" Properties=species:S:1:pos:R:3 pbc="T T T"
K 0.000 1.068 1.666
K 0.000 8.742 4.998
K 6.734 3.837 4.998
K 6.734 5.973 1.666
Sr 0.000 3.617 4.998
Sr 0.000 6.194 1.666
Sr 3.188 3.658 1.666
Sr 3.188 6.153 4.998
Sr 3.545 1.248 4.998
Sr 3.545 8.563 1.666
Sr 6.734 1.288 1.666
Sr 6.734 8.522 4.998
Sr 9.922 1.248 4.998
Sr 9.922 8.563 1.666
Sr 10.279 3.658 1.666
Sr 10.279 6.153 4.998
```

Results
The crystal system is orthorhombic. The value obtained for the magnetic moment is 0.00 μB per cell. The calculation puts the formation energy at 0.08 eV per atom.

=====

Record 2
A plane-wave DFT calculation with PBEsol was carried out for an optimized crystal structure of Te2W.

```
12
Lattice="12.075 0.000 0.000 0.000 3.414 0.000 -4.260 0.000 7.079" Properties=species:S:1:pos:R:3 pbc="T T T"
Te 0.000 0.000 0.000
Te -1.928 0.000 3.862
Te 0.941 1.707 3.308
Te 3.075 0.000 0.444
Te 6.038 1.707 0.000
Te 4.109 1.707 3.862
Te 6.979 0.000 3.308
Te 9.113 1.707 0.444
W -0.536 1.707 5.575
W 2.240 0.000 5.008
W 5.502 0.000 5.575
W 8.278 1.707 5.008
```

Results
The crystal system is monoclinic. The value obtained for the magnetic moment is 0.00 μB per cell. As for the uncorrected formation energy: 0.118 eV/atom.

=====

| no. | N(E_F) (states/eV/f.u.) |
| --- | --- |
| 1 | 3.75 |
| 2 | 0.42 |